Entry from OQMD: NbInSeS after structural relaxation (PBE).

abc: 3.397 3.397 9.118
angles: 90.00 90.00 120.00
Positions (direct):
Nb (0.000, 0.000, 0.000)
In (0.667, 0.333, 0.523)
Se (0.667, 0.333, 0.187)
S (0.667, 0.333, 0.831)

electronic total energy = -5.892 eV per atom

=====

Entry from OQMD: ScNbIn2 after structural relaxation (PBE).

abc: 4.943 4.943 4.943
angles: 60.00 60.00 60.00
Positions (direct):
Sc (0.000, 0.000, 0.000)
Nb (0.250, 0.250, 0.250)
In (0.500, 0.500, 0.500)
In (0.750, 0.750, 0.750)

electronic total energy = -5.204 eV per atom

=====

Entry from OQMD: ScNb2In after structural relaxation (PBE).

abc: 4.814 4.814 4.814
angles: 60.00 60.00 60.00
Positions (direct):
Sc (0.000, 0.000, 0.000)
Nb (0.250, 0.250, 0.250)
Nb (0.500, 0.500, 0.500)
In (0.750, 0.750, 0.750)

electronic total energy = -7.326 eV per atom

=====

Entry from OQMD: ScNbIn after structural relaxation (PBE).

abc: 4.761 4.761 4.761
angles: 60.00 60.00 60.00
Positions (direct):
Sc (0.000, 0.000, 0.000)
Nb (0.750, 0.750, 0.750)
In (0.500, 0.500, 0.500)

offset from the most stable computed form = 0 meV per atom

=====

Entry from OQMD: Sc2NbIn after structural relaxation (PBE).

abc: 4.907 4.907 4.907
angles: 60.00 60.00 60.00
Positions (direct):
Sc (0.000, 0.000, 0.000)
Sc (0.250, 0.250, 0.250)
Nb (0.750, 0.750, 0.750)
In (0.500, 0.500, 0.500)

electronic total energy = -6.338 eV per atom

=====

Entry from OQMD: Nb3InSe5 after structural relaxation (PBE).

abc: 5.785 5.785 7.690
angles: 90.00 90.00 120.00
Positions (direct):
Nb (0.000, 0.500, 0.000)
Nb (0.500, 0.000, 0.000)
Nb (0.500, 0.500, 0.000)
In (0.000, 0.000, 0.500)
Se (0.000, 0.000, 0.000)
Se (0.333, 0.667, 0.268)
Se (0.333, 0.667, 0.732)
Se (0.667, 0.333, 0.268)
Se (0.667, 0.333, 0.732)

electronic total energy = -6.113 eV per atom

=====

Entry from OQMD: SmNbIn after structural relaxation (PBE).

abc: 5.036 5.036 5.036
angles: 60.00 60.00 60.00
Positions (direct):
Sm (0.000, 0.000, 0.000)
Nb (0.250, 0.250, 0.250)
In (0.750, 0.750, 0.750)

offset from the most stable computed form = 339 meV per atom

=====

Entry from OQMD: SmNbIn after structural relaxation (PBE).

abc: 4.956 4.956 4.956
angles: 60.00 60.00 60.00
Positions (direct):
Sm (0.000, 0.000, 0.000)
Nb (0.750, 0.750, 0.750)
In (0.500, 0.500, 0.500)

offset from the most stable computed form = 0 meV per atom

=====

Entry from OQMD: NbInSn after structural relaxation (PBE).

abc: 4.766 4.766 4.766
angles: 60.00 60.00 60.00
Positions (direct):
Nb (0.000, 0.000, 0.000)
In (0.250, 0.250, 0.250)
Sn (0.750, 0.750, 0.750)

offset from the most stable computed form = 0 meV per atom

=====

Entry from OQMD: Nb3InSn5 after structural relaxation (PBE).

abc: 5.808 5.808 7.554
angles: 90.00 90.00 120.00
Positions (direct):
Nb (0.000, 0.500, 0.000)
Nb (0.500, 0.000, 0.000)
Nb (0.500, 0.500, 0.000)
In (0.000, 0.000, 0.500)
Sn (0.000, 0.000, 0.000)
Sn (0.333, 0.667, 0.311)
Sn (0.333, 0.667, 0.689)
Sn (0.667, 0.333, 0.311)
Sn (0.667, 0.333, 0.689)

electronic total energy = -5.852 eV per atom

=====

Entry from OQMD: NbInSn after structural relaxation (PBE).

abc: 4.763 4.763 4.763
angles: 60.00 60.00 60.00
Positions (direct):
Nb (0.000, 0.000, 0.000)
In (0.500, 0.500, 0.500)
Sn (0.750, 0.750, 0.750)

offset from the most stable computed form = 233 meV per atom

=====

Entry from OQMD: TaNb6In after structural relaxation (PBE).

abc: 5.308 5.308 5.308
angles: 90.00 90.00 90.00
Positions (direct):
Ta (0.000, 0.000, 0.000)
Nb (0.000, 0.244, 0.500)
Nb (0.000, 0.756, 0.500)
Nb (0.244, 0.500, 0.000)
Nb (0.500, 0.000, 0.244)
Nb (0.500, 0.000, 0.756)
Nb (0.756, 0.500, 0.000)
In (0.500, 0.500, 0.500)

electronic total energy = -9.411 eV per atom